Material: KAlHgBr4
Method: DFT, PBE-GGA
State: optimized geometry

The crystal system is orthorhombic. The final energy comes out at -2.83 eV/atom. The value obtained for the density of states at the Fermi level is 0.00 states/eV/cell. For the volume, the calculation gives 1131.5 Å³ per cell.

The structure belongs to space group Imma (No. 74); the cell edges are 7.955, 10.684 and 13.313 Å and the angles 90.00°, 90.00° and 90.00°. The distinct sites, in fractional coordinates, are K at (0.000, 0.000, 0.000), Al at (0.000, 0.250, 0.367), Hg at (0.250, 0.250, 0.750), Br at (0.000, 0.067, 0.276) and Br at (0.237, 0.250, 0.474).